[1]
Entry from the Alexandria database: a relaxed structure of LiZrZn (PBE-GGA).

density = 5.0 Mg/m³
formation energy from the elements = -75 meV per atom
SG = Cmcm (63)

Cell lengths 7.885, 7.885, 4.908 Å; angles 90.00, 90.00, 159.02 degrees
Fractional coordinates of all 6 atoms:
Li  0.248  0.752  0.750
Li  0.752  0.248  0.250
Zr  0.435  0.565  0.250
Zr  0.565  0.435  0.750
Zn  0.108  0.892  0.250
Zn  0.892  0.108  0.750



[2]
Entry from the Alexandria database: a relaxed structure of SrLaCd2Co (PBE-GGA).

density = 6.1 Mg/m³
formation energy from the elements = -175 meV per atom
SG = P4/mmm (123)

Cell lengths 5.340, 5.340, 4.852 Å; angles 90.00, 90.00, 90.00 degrees
Fractional coordinates of all 5 atoms:
Sr  0.000  0.000  0.000
La  0.500  0.500  0.000
Cd  0.000  0.500  0.500
Cd  0.500  0.000  0.500
Co  0.500  0.500  0.500



[3]
Entry from the Alexandria database: a relaxed structure of Cu2Pt (PBE-GGA).

density = 13.4 Mg/m³
formation energy from the elements = -142 meV per atom
SG = C2/m (12)

Cell lengths 4.539, 4.539, 5.284 Å; angles 104.46, 104.46, 49.72 degrees
Fractional coordinates of all 6 atoms:
Cu  0.000  0.000  0.000
Cu  0.000  0.000  0.500
Cu  0.332  0.332  0.665
Cu  0.668  0.668  0.335
Pt  0.339  0.339  0.177
Pt  0.661  0.661  0.823



[4]
Entry from the Alexandria database: a relaxed structure of Ca2MgSi (PBE-GGA).

density = 1.8 Mg/m³
energy relative to the elements, uncorrected = -0.03 eV per atom
SG = C2/m (12)

Cell lengths 4.755, 4.755, 7.683 Å; angles 98.65, 98.65, 44.46 degrees
Fractional coordinates of all 4 atoms:
Ca  0.234  0.234  0.204
Ca  0.766  0.766  0.796
Mg  0.000  0.000  0.500
Si  0.500  0.500  0.000



[5]
Entry from the Alexandria database: a relaxed structure of Ac2LaNi6 (PBE-GGA).

density = 8.6 Mg/m³
formation energy from the elements = -287 meV per atom
SG = P6/mmm (191)

Cell lengths 7.129, 7.129, 4.165 Å; angles 90.00, 90.00, 120.00 degrees
Fractional coordinates of all 9 atoms:
Ac  0.333  0.667  0.000
Ac  0.667  0.333  0.000
La  0.000  0.000  0.000
Ni  0.000  0.332  0.500
Ni  0.000  0.668  0.500
Ni  0.332  0.000  0.500
Ni  0.332  0.332  0.500
Ni  0.668  0.000  0.500
Ni  0.668  0.668  0.500



[6]
Entry from the Alexandria database: a relaxed structure of Mg2B2As (PBE-GGA).

density = 3.5 Mg/m³
formation energy from the elements = 459 meV per atom
SG = I4/mmm (139)

Cell lengths 8.024, 8.024, 8.024 Å; angles 158.51, 158.51, 30.57 degrees
Fractional coordinates of all 5 atoms:
Mg  0.126  0.126  0.000
Mg  0.874  0.874  0.000
B  0.250  0.750  0.500
B  0.750  0.250  0.500
As  0.500  0.500  0.000



[7]
Entry from the Alexandria database: a relaxed structure of BeIn2Hg (PBE-GGA).

density = 7.9 Mg/m³
formation energy from the elements = 316 meV per atom
SG = C2/m (12)

Cell lengths 4.108, 4.108, 7.268 Å; angles 103.75, 103.75, 50.95 degrees
Fractional coordinates of all 4 atoms:
Be  0.000  0.000  0.000
In  0.267  0.267  0.811
In  0.733  0.733  0.189
Hg  0.500  0.500  0.500



[8]
Entry from the Alexandria database: a relaxed structure of Dy7TmMg4 (PBE-GGA).

density = 6.6 Mg/m³
formation energy from the elements = 175 meV per atom
SG = C2/m (12)

Cell lengths 8.044, 8.044, 9.627 Å; angles 119.32, 119.32, 41.72 degrees
Fractional coordinates of all 12 atoms:
Dy  0.000  0.000  0.000
Dy  0.250  0.250  0.713
Dy  0.299  0.299  0.122
Dy  0.420  0.420  0.576
Dy  0.580  0.580  0.424
Dy  0.701  0.701  0.878
Dy  0.750  0.750  0.287
Tm  0.500  0.500  0.000
Mg  0.042  0.042  0.698
Mg  0.175  0.175  0.346
Mg  0.825  0.825  0.654
Mg  0.958  0.958  0.302



Copy entry 8 word for word.
Entry from the Alexandria database: a relaxed structure of Dy7TmMg4 (PBE-GGA).

density = 6.6 Mg/m³
formation energy from the elements = 175 meV per atom
SG = C2/m (12)

Cell lengths 8.044, 8.044, 9.627 Å; angles 119.32, 119.32, 41.72 degrees
Fractional coordinates of all 12 atoms:
Dy  0.000  0.000  0.000
Dy  0.250  0.250  0.713
Dy  0.299  0.299  0.122
Dy  0.420  0.420  0.576
Dy  0.580  0.580  0.424
Dy  0.701  0.701  0.878
Dy  0.750  0.750  0.287
Tm  0.500  0.500  0.000
Mg  0.042  0.042  0.698
Mg  0.175  0.175  0.346
Mg  0.825  0.825  0.654
Mg  0.958  0.958  0.302